1.
! Ti6Al3Os | Alexandria | PBE | relaxed; values from VASP
! Calculated formation energy: -0.393 eV/atom
! SG: No. 11
! Raw total energy: -7.38 eV/atom
! Total moment: 0.00 μB per formula unit
&SYSTEM
  ibrav = 0, nat = 20, ntyp = 3
/
ATOMIC_SPECIES
Ti 47.87 Ti.upf
Al 26.98 Al.upf
Os 190.23 Os.upf
CELL_PARAMETERS angstrom
7.633 0.000 0.000
0.000 4.564 0.000
-3.194 0.000 9.187
ATOMIC_POSITIONS angstrom
Ti -0.984 1.141 3.807
Ti 0.672 3.423 1.694
Ti 1.954 1.141 0.113
Ti 1.654 1.141 2.883
Ti 0.173 3.423 7.332
Ti 1.344 1.141 5.689
Ti 3.095 3.423 3.497
Ti 4.265 1.141 1.855
Ti 2.785 3.423 6.304
Ti 2.485 3.423 9.074
Ti 3.766 1.141 7.493
Ti 5.423 3.423 5.379
Al -2.480 3.423 8.115
Al -1.255 1.141 6.594
Al 0.514 3.423 4.420
Al 3.925 1.141 4.766
Al 5.693 3.423 2.592
Al 6.918 1.141 1.072
Os 3.153 3.423 0.890
Os 1.285 1.141 8.297


2.
! SrCuCl4 | Alexandria | PBE | relaxed; values from VASP
! SG: No. 82
! Raw total energy: -3.63 eV/atom
! Uncorrected formation energy: -1433 meV per atom
! Total moment: 0.99 μB per formula unit
&SYSTEM
  ibrav = 0, nat = 6, ntyp = 3
/
ATOMIC_SPECIES
Sr 87.62 Sr.upf
Cu 63.55 Cu.upf
Cl 35.45 Cl.upf
CELL_PARAMETERS angstrom
-3.464 3.464 3.633
3.464 -3.464 3.633
3.464 3.464 -3.633
ATOMIC_POSITIONS angstrom
Sr 0.000 0.000 0.000
Cu 3.464 0.000 1.816
Cl 5.070 -1.618 1.806
Cl 1.847 -1.606 1.826
Cl 1.859 1.618 1.806
Cl 5.082 1.606 1.826